A plane-wave DFT calculation with PBE-GGA was carried out for a geometry-optimized TaTcBr2 structure.

The volume is 19.980 A^3/atom. The density of states at the Fermi level comes out at 7.150 states/eV per cell. The total magnetization comes out at 2.35 μB per formula unit. The energy above the most stable polymorph in this dataset comes out at 4.16 eV/f.u.

The structure belongs to space group Cmmm (No. 65); the cell edges are 3.024, 5.794 and 9.122 Å and the angles 90.00°, 90.00° and 90.00°. Symmetry generates all atoms from Ta at (0.000, 0.000, 0.000), Tc at (0.000, 0.000, 0.500) and Br at (0.000, 0.500, 0.245).